w.
The following is a PBE-GGA calculation of TeOsI2N after structural relaxation, from Alexandria via LeMat-Bulk.

Lattice parameters (Å, degrees): 5.6658 5.6658 3.7551 90.00 90.00 90.00
Last column: nearest neighbours and their distance in Å.
Element x y z (fractional)
Te (0.0000, 0.0000, 0.0000)  8 I 3.40, 2 Te 3.76
Os (0.5000, 0.5000, 0.5000)  2 N 1.88
I (0.0000, 0.5000, 0.5000)  2 Os 2.83
I (0.5000, 0.0000, 0.5000)  2 Os 2.83
N (0.5000, 0.5000, 0.0000)  2 Os 1.88

Output
calculated volume	120.5	Å³ per cell

x.
The following is a PBE-GGA calculation of TeOsI2N after structural relaxation, from Alexandria via LeMat-Bulk.

Lattice parameters (Å, degrees): 4.7142 4.7142 4.9015 90.00 90.00 90.00
Last column: nearest neighbours and their distance in Å.
Element x y z (fractional)
Te (0.0000, 0.0000, 0.0000)  2 N 2.45
Os (0.5000, 0.5000, 0.0000)  4 Te 3.33, 8 I 3.40
I (0.0000, 0.5000, 0.5000)  2 N 2.36
I (0.5000, 0.0000, 0.5000)  2 N 2.36
N (0.0000, 0.0000, 0.5000)  4 I 2.36, 2 Te 2.45

Output
calculated volume	108.9	Å³ per cell

y.
The following is a PBE-GGA calculation of TeOsI2N after structural relaxation, from Alexandria via LeMat-Bulk.

Lattice parameters (Å, degrees): 5.4790 5.4790 4.9938 90.00 90.00 90.00
Last column: nearest neighbours and their distance in Å.
Element x y z (fractional)
Te (0.0000, 0.0000, 0.0000)  2 Os 2.50
Os (0.0000, 0.0000, 0.5000)  2 Te 2.50, 4 I 2.74
I (0.0000, 0.5000, 0.5000)  2 Os 2.74
I (0.5000, 0.0000, 0.5000)  2 Os 2.74
N (0.5000, 0.5000, 0.0000)  8 I 3.71, 4 Te 3.87

Output
calculated volume	149.9	Å³ per cell

z.
The following is a PBE-GGA calculation of TeOsI2N after structural relaxation, from Alexandria via LeMat-Bulk.

Lattice parameters (Å, degrees): 6.1953 6.1953 3.9592 90.00 90.00 90.00
Last column: nearest neighbours and their distance in Å.
Element x y z (fractional)
Te (0.0000, 0.0000, 0.0000)  2 N 1.98
Os (0.5000, 0.5000, 0.5000)  8 I 3.68, 2 Os 3.96
I (0.0000, 0.5000, 0.0000)  2 Te 3.10
I (0.5000, 0.0000, 0.0000)  2 Te 3.10
N (0.0000, 0.0000, 0.5000)  2 Te 1.98

Output
calculated volume	152.0	Å³ per cell

Q: Which of them is the least stable? A: z.

w.
The following is a PBE-GGA calculation of Te2OsIN after structural relaxation, from Alexandria via LeMat-Bulk.

Lattice parameters (Å, degrees): 5.6824 5.6824 3.7922 90.00 90.00 90.00
Last column: nearest neighbours and their distance in Å.
Element x y z (fractional)
Te (0.0000, 0.5000, 0.0000)  2 I 2.84
Te (0.5000, 0.0000, 0.0000)  2 I 2.84
Os (0.0000, 0.0000, 0.5000)  8 Te 3.42, 2 Os 3.79
I (0.5000, 0.5000, 0.0000)  2 N 1.90
N (0.5000, 0.5000, 0.5000)  2 I 1.90

Output
calculated volume	122.4	Å³ per cell

x.
The following is a PBE-GGA calculation of Te2OsIN after structural relaxation, from Alexandria via LeMat-Bulk.

Lattice parameters (Å, degrees): 5.6334 5.6334 3.7103 90.00 90.00 90.00
Last column: nearest neighbours and their distance in Å.
Element x y z (fractional)
Te (0.0000, 0.5000, 0.0000)  2 Os 2.82
Te (0.5000, 0.0000, 0.0000)  2 Os 2.82
Os (0.0000, 0.0000, 0.0000)  2 N 1.86
I (0.5000, 0.5000, 0.5000)  8 Te 3.37, 2 I 3.71
N (0.0000, 0.0000, 0.5000)  2 Os 1.86

Output
calculated volume	117.7	Å³ per cell

y.
The following is a PBE-GGA calculation of Te2OsIN after structural relaxation, from Alexandria via LeMat-Bulk.

Lattice parameters (Å, degrees): 4.6982 4.6982 4.6102 90.00 90.00 90.00
Last column: nearest neighbours and their distance in Å.
Element x y z (fractional)
Te (0.0000, 0.5000, 0.0000)  2 N 2.35
Te (0.5000, 0.0000, 0.0000)  2 N 2.35
Os (0.0000, 0.0000, 0.5000)  8 Te 3.29, 4 I 3.32
I (0.5000, 0.5000, 0.5000)  2 N 2.31
N (0.5000, 0.5000, 0.0000)  2 I 2.31, 4 Te 2.35

Output
calculated volume	101.8	Å³ per cell

Q: Which of them is the least stable? A: w.

w.
The following is a PBE-GGA calculation of TiOsI2N after structural relaxation, from Alexandria via LeMat-Bulk.

Lattice parameters (Å, degrees): 5.5570 5.5570 3.7180 90.00 90.00 90.00
Last column: nearest neighbours and their distance in Å.
Element x y z (fractional)
Ti (0.0000, 0.0000, 0.0000)  8 I 3.34, 2 Ti 3.72
Os (0.5000, 0.5000, 0.5000)  2 N 1.86
I (0.0000, 0.5000, 0.5000)  2 Os 2.78
I (0.5000, 0.0000, 0.5000)  2 Os 2.78
N (0.5000, 0.5000, 0.0000)  2 Os 1.86

Output
calculated volume	114.8	Å³ per cell

x.
The following is a PBE-GGA calculation of TiOsI2N after structural relaxation, from Alexandria via LeMat-Bulk.

Lattice parameters (Å, degrees): 5.4961 5.4961 3.6263 90.00 90.00 90.00
Last column: nearest neighbours and their distance in Å.
Element x y z (fractional)
Ti (0.0000, 0.0000, 0.0000)  2 N 1.81
Os (0.5000, 0.5000, 0.5000)  8 I 3.29, 2 Os 3.63
I (0.0000, 0.5000, 0.0000)  2 Ti 2.75
I (0.5000, 0.0000, 0.0000)  2 Ti 2.75
N (0.0000, 0.0000, 0.5000)  2 Ti 1.81

Output
calculated volume	109.5	Å³ per cell

Q: Which of them is the least stable? A: x.

w.
The following is a PBE-GGA calculation of VOsIN2 after structural relaxation, from Alexandria via LeMat-Bulk.

Lattice parameters (Å, degrees): 3.8545 3.8545 5.9731 90.00 90.00 90.00
Last column: nearest neighbours and their distance in Å.
Element x y z (fractional)
V (0.0000, 0.0000, 0.0000)  4 I 2.73
Os (0.5000, 0.5000, 0.5000)  4 N 1.93
I (0.5000, 0.5000, 0.0000)  4 V 2.73, 2 Os 2.99
N (0.0000, 0.5000, 0.5000)  2 Os 1.93
N (0.5000, 0.0000, 0.5000)  2 Os 1.93

Output
calculated volume	88.7	Å³ per cell

x.
The following is a PBE-GGA calculation of VOsIN2 after structural relaxation, from Alexandria via LeMat-Bulk.

Lattice parameters (Å, degrees): 3.7755 3.7755 5.9413 90.00 90.00 90.00
Last column: nearest neighbours and their distance in Å.
Element x y z (fractional)
V (0.0000, 0.0000, 0.0000)  4 N 1.89
Os (0.5000, 0.5000, 0.5000)  4 I 2.67
I (0.0000, 0.0000, 0.5000)  4 Os 2.67, 2 V 2.97
N (0.0000, 0.5000, 0.0000)  2 V 1.89
N (0.5000, 0.0000, 0.0000)  2 V 1.89

Output
calculated volume	84.7	Å³ per cell

Q: Which of them is the least stable? A: x.

w.
The following is a PBE-GGA calculation of VOsI2N after structural relaxation, from Alexandria via LeMat-Bulk.

Lattice parameters (Å, degrees): 5.5316 5.5316 3.7161 90.00 90.00 90.00
Last column: nearest neighbours and their distance in Å.
Element x y z (fractional)
V (0.0000, 0.0000, 0.0000)  8 I 3.33, 2 V 3.72
Os (0.5000, 0.5000, 0.5000)  2 N 1.86
I (0.0000, 0.5000, 0.5000)  2 Os 2.77
I (0.5000, 0.0000, 0.5000)  2 Os 2.77
N (0.5000, 0.5000, 0.0000)  2 Os 1.86

Output
calculated volume	113.7	Å³ per cell

x.
The following is a PBE-GGA calculation of VOsI2N after structural relaxation, from Alexandria via LeMat-Bulk.

Lattice parameters (Å, degrees): 5.3561 5.3561 3.5570 90.00 90.00 90.00
Last column: nearest neighbours and their distance in Å.
Element x y z (fractional)
V (0.0000, 0.0000, 0.0000)  2 N 1.78
Os (0.5000, 0.5000, 0.5000)  8 I 3.21, 2 Os 3.56
I (0.0000, 0.5000, 0.0000)  2 V 2.68
I (0.5000, 0.0000, 0.0000)  2 V 2.68
N (0.0000, 0.0000, 0.5000)  2 V 1.78

Output
calculated volume	102.0	Å³ per cell

Q: Which of them is the least stable? A: x.

w.
The following is a PBE-GGA calculation of OsWIN2 after structural relaxation, from Alexandria via LeMat-Bulk.

Lattice parameters (Å, degrees): 3.8599 3.8599 6.1340 90.00 90.00 90.00
Last column: nearest neighbours and their distance in Å.
Element x y z (fractional)
Os (0.0000, 0.0000, 0.0000)  4 N 1.93
W (0.5000, 0.5000, 0.5000)  4 I 2.73
I (0.0000, 0.0000, 0.5000)  4 W 2.73
N (0.0000, 0.5000, 0.0000)  2 Os 1.93
N (0.5000, 0.0000, 0.0000)  2 Os 1.93

Output
calculated volume	91.4	Å³ per cell

x.
The following is a PBE-GGA calculation of OsWIN2 after structural relaxation, from Alexandria via LeMat-Bulk.

Lattice parameters (Å, degrees): 3.9080 3.9080 5.8929 90.00 90.00 90.00
Last column: nearest neighbours and their distance in Å.
Element x y z (fractional)
Os (0.0000, 0.0000, 0.0000)  4 I 2.76
W (0.5000, 0.5000, 0.5000)  4 N 1.95
I (0.5000, 0.5000, 0.0000)  4 Os 2.76, 2 W 2.95
N (0.0000, 0.5000, 0.5000)  2 W 1.95
N (0.5000, 0.0000, 0.5000)  2 W 1.95

Output
calculated volume	90.0	Å³ per cell

Q: Which of them is the least stable? A: w.